1.
DFT (PBE) results for a relaxed structure of Ba3Li4Tl2.

a b c (Å): 5.309 6.850 9.976
angles (deg): 109.06 90.00 112.80
Fractional positions:
1 Ba 0.641 0.281 0.683
2 Ba 0.000 0.000 0.000
3 Ba 0.359 0.719 0.317
4 Tl 0.348 0.696 0.679
5 Tl 0.652 0.304 0.321
6 Li 0.278 0.557 0.926
7 Li 0.880 0.761 0.576
8 Li 0.120 0.239 0.424
9 Li 0.722 0.443 0.074

## Properties
Space-group type ... C2/m (12)
Total DFT energy (no corrections) ... -19.6 eV per cell


2.
DFT (PBE) results for a relaxed structure of BaLi3Tl.

a b c (Å): 5.307 5.307 5.307
angles (deg): 90.00 90.00 90.00
Fractional positions:
1 Li 0.500 0.000 0.000
2 Li 0.000 0.500 0.000
3 Ba 0.500 0.500 0.500
4 Tl 0.000 0.000 0.000
5 Li 0.000 0.000 0.500

## Properties
Space-group type ... Pm-3m (221)
Total DFT energy (no corrections) ... -10.6 eV per cell


3.
DFT (PBE) results for a relaxed structure of Ba3Li5Tl2.

a b c (Å): 4.637 11.983 11.983
angles (deg): 90.00 90.00 90.00
Fractional positions:
1 Li 0.500 0.744 0.435
2 Li 0.500 0.000 0.500
3 Ba 0.000 0.684 0.184
4 Li 0.500 0.256 0.565
5 Li 0.500 0.500 0.000
6 Tl 0.000 0.108 0.608
7 Tl 0.000 0.608 0.892
8 Ba 0.000 0.500 0.500
9 Tl 0.000 0.392 0.108
10 Ba 0.000 0.000 0.000
11 Ba 0.000 0.316 0.816
12 Li 0.500 0.756 0.935
13 Li 0.500 0.935 0.244
14 Ba 0.000 0.184 0.316
15 Li 0.500 0.435 0.256
16 Ba 0.000 0.816 0.684
17 Li 0.500 0.065 0.756
18 Tl 0.000 0.892 0.392
19 Li 0.500 0.565 0.744
20 Li 0.500 0.244 0.065

## Properties
Space-group type ... P4/mbm (127)
Total DFT energy (no corrections) ... -43.2 eV per cell


4.
DFT (PBE) results for a relaxed structure of Ba2LiTl2.

a b c (Å): 6.933 6.933 6.558
angles (deg): 58.09 58.09 90.00
Fractional positions:
1 Ba 0.750 0.250 0.500
2 Li 0.000 0.000 0.000
3 Tl 0.335 0.335 0.331
4 Ba 0.250 0.750 0.500
5 Tl 0.665 0.665 0.669

## Properties
Space-group type ... I4/mmm (139)
Total DFT energy (no corrections) ... -11.2 eV per cell


5.
DFT (PBE) results for a relaxed structure of BaLi2Tl.

a b c (Å): 7.378 7.378 7.378
angles (deg): 149.92 56.11 133.81
Fractional positions:
1 Li 0.713 0.000 0.713
2 Tl 0.500 0.000 0.500
3 Li 0.287 0.000 0.287
4 Ba 0.000 0.000 0.000

## Properties
Space-group type ... Immm (71)
Total DFT energy (no corrections) ... -8.0 eV per cell


6.
DFT (PBE) results for a relaxed structure of Ba2Li2Tl5.

a b c (Å): 5.503 5.503 9.358
angles (deg): 90.00 90.00 90.00
Fractional positions:
1 Ba 0.000 0.000 0.000
2 Tl 0.500 0.000 0.256
3 Li 0.500 0.500 0.166
4 Tl 0.000 0.500 0.256
5 Tl 0.000 0.500 0.744
6 Li 0.500 0.500 0.834
7 Ba 0.000 0.000 0.500
8 Tl 0.500 0.500 0.500
9 Tl 0.500 0.000 0.744

## Properties
Space-group type ... P4/mmm (123)
Total DFT energy (no corrections) ... -21.7 eV per cell


7.
DFT (PBE) results for a relaxed structure of Ba2LiTl.

a b c (Å): 9.534 9.534 7.753
angles (deg): 52.06 52.06 90.00
Fractional positions:
1 Ba 0.626 0.125 0.250
2 Tl 0.000 0.000 0.000
3 Ba 0.124 0.625 0.250
4 Li 0.500 0.500 0.000
5 Tl 0.750 0.250 0.500
6 Li 0.250 0.750 0.500
7 Ba 0.875 0.876 0.750
8 Ba 0.375 0.374 0.750

## Properties
Space-group type ... I-42d (122)
Total DFT energy (no corrections) ... -15.8 eV per cell


8.
DFT (PBE) results for a relaxed structure of Ba2Li3Tl.

a b c (Å): 6.536 6.536 6.482
angles (deg): 90.34 119.76 120.12
Fractional positions:
1 Ba 0.254 0.627 0.880
2 Tl 0.000 0.000 0.000
3 Li 0.500 0.000 0.500
4 Li 0.000 0.000 0.500
5 Ba 0.746 0.373 0.120
6 Li 0.500 0.500 0.500

## Properties
Space-group type ... C2/m (12)
Total DFT energy (no corrections) ... -12.6 eV per cell


9.
DFT (PBE) results for a relaxed structure of Ba2Li15Tl2.

a b c (Å): 7.789 7.789 7.789
angles (deg): 84.33 84.33 84.33
Fractional positions:
1 Li 0.500 0.000 0.000
2 Li 0.878 0.341 0.341
3 Li 0.659 0.659 0.122
4 Li 0.735 0.265 0.000
5 Li 0.000 0.500 0.000
6 Ba 0.352 0.352 0.352
7 Li 0.000 0.000 0.500
8 Li 0.000 0.735 0.265
9 Li 0.659 0.122 0.659
10 Li 0.000 0.265 0.735
11 Li 0.341 0.341 0.878
12 Li 0.265 0.000 0.735
13 Ba 0.648 0.648 0.648
14 Li 0.735 0.000 0.265
15 Li 0.265 0.735 0.000
16 Tl 0.890 0.890 0.890
17 Tl 0.110 0.110 0.110
18 Li 0.341 0.878 0.341
19 Li 0.122 0.659 0.659

## Properties
Space-group type ... R-3m (166)
Total DFT energy (no corrections) ... -38.4 eV per cell


10.
DFT (PBE) results for a relaxed structure of BaLi4Tl8.

a b c (Å): 6.201 8.011 8.011
angles (deg): 81.38 67.23 67.23
Fractional positions:
1 Li 0.500 0.000 0.500
2 Tl 0.343 0.657 0.657
3 Li 0.000 0.000 0.500
4 Tl 0.657 0.343 0.343
5 Li 0.500 0.500 0.000
6 Tl 0.000 0.657 0.343
7 Tl 0.278 0.222 0.222
8 Tl 0.500 0.222 0.778
9 Tl 0.722 0.778 0.778
10 Tl 0.000 0.343 0.657
11 Li 0.000 0.500 0.000
12 Ba 0.000 0.000 0.000
13 Tl 0.500 0.778 0.222

## Properties
Space-group type ... I4/mmm (139)
Total DFT energy (no corrections) ... -31.2 eV per cell


11.
DFT (PBE) results for a relaxed structure of BaLiTl3.

a b c (Å): 5.350 5.350 5.350
angles (deg): 90.00 90.00 90.00
Fractional positions:
1 Tl 0.500 0.000 0.000
2 Li 0.000 0.000 0.000
3 Ba 0.500 0.500 0.500
4 Tl 0.000 0.500 0.000
5 Tl 0.000 0.000 0.500

## Properties
Space-group type ... Pm-3m (221)
Total DFT energy (no corrections) ... -12.1 eV per cell


12.
DFT (PBE) results for a relaxed structure of Ba2Li16Tl.

a b c (Å): 7.849 7.849 7.849
angles (deg): 83.79 83.79 83.79
Fractional positions:
1 Li 0.511 0.996 0.996
2 Li 0.341 0.867 0.341
3 Li 0.999 0.275 0.725
4 Ba 0.351 0.351 0.351
5 Li 0.725 0.275 0.999
6 Li 0.275 0.725 0.999
7 Li 0.129 0.663 0.663
8 Li 0.663 0.663 0.129
9 Li 0.663 0.129 0.663
10 Li 0.999 0.725 0.275
11 Li 0.341 0.341 0.867
12 Tl 0.901 0.901 0.901
13 Li 0.275 0.999 0.725
14 Li 0.996 0.996 0.511
15 Li 0.725 0.999 0.275
16 Li 0.867 0.341 0.341
17 Li 0.094 0.094 0.094
18 Ba 0.650 0.650 0.650
19 Li 0.996 0.511 0.996

## Properties
Space-group type ... R3m (160)
Total DFT energy (no corrections) ... -37.2 eV per cell


13.
DFT (PBE) results for a relaxed structure of Ba2LiTl4.

a b c (Å): 5.048 6.524 8.998
angles (deg): 111.25 90.00 90.00
Fractional positions:
1 Ba 0.500 0.157 0.313
2 Ba 0.500 0.843 0.687
3 Tl 0.500 0.413 0.827
4 Tl 0.000 0.695 0.391
5 Li 0.000 0.500 0.000
6 Tl 0.500 0.587 0.173
7 Tl 0.000 0.305 0.609

## Properties
Space-group type ... Cmmm (65)
Total DFT energy (no corrections) ... -16.5 eV per cell


14.
DFT (PBE) results for a relaxed structure of Ba2LiTl4.

a b c (Å): 5.218 5.218 9.762
angles (deg): 105.50 105.50 90.00
Fractional positions:
1 Ba 0.650 0.650 0.301
2 Tl 0.850 0.850 0.700
3 Li 0.000 0.000 0.000
4 Tl 0.500 0.000 0.000
5 Ba 0.350 0.350 0.699
6 Tl 0.150 0.150 0.300
7 Tl 0.000 0.500 0.000

## Properties
Space-group type ... I4/mmm (139)
Total DFT energy (no corrections) ... -16.8 eV per cell


15.
DFT (PBE) results for a relaxed structure of BaLiTl4.

a b c (Å): 4.852 7.880 9.606
angles (deg): 90.00 104.63 90.00
Fractional positions:
1 Tl 0.314 0.448 0.629
2 Tl 0.076 0.750 0.153
3 Tl 0.500 0.000 0.000
4 Tl 0.314 0.052 0.629
5 Tl 0.924 0.250 0.847
6 Ba 0.118 0.250 0.236
7 Tl 0.686 0.552 0.371
8 Tl 0.500 0.500 0.000
9 Li 0.230 0.750 0.459
10 Tl 0.686 0.948 0.371
11 Li 0.770 0.250 0.541
12 Ba 0.882 0.750 0.764

## Properties
Space-group type ... Cmcm (63)
Total DFT energy (no corrections) ... -29.8 eV per cell


16.
DFT (PBE) results for a relaxed structure of Ba2LiTl7.

a b c (Å): 5.026 5.026 13.188
angles (deg): 90.00 90.00 90.00
Fractional positions:
1 Tl 0.000 0.500 0.645
2 Ba 0.500 0.000 0.746
3 Ba 0.000 0.500 0.254
4 Tl 0.500 0.000 0.128
5 Tl 0.000 0.000 0.000
6 Tl 0.000 0.000 0.500
7 Li 0.500 0.500 0.000
8 Tl 0.500 0.500 0.500
9 Tl 0.000 0.500 0.872
10 Tl 0.500 0.000 0.355

## Properties
Space-group type ... P-4m2 (115)
Total DFT energy (no corrections) ... -24.7 eV per cell


17.
DFT (PBE) results for a relaxed structure of BaLi3Tl2.

a b c (Å): 4.908 9.399 8.127
angles (deg): 114.36 90.00 105.14
Fractional positions:
1 Li 0.413 0.826 0.370
2 Ba 0.156 0.312 0.080
3 Tl 0.525 0.049 0.202
4 Tl 0.827 0.655 0.358
5 Li 0.987 0.974 0.646
6 Li 0.691 0.381 0.453
7 Li 0.309 0.619 0.547
8 Tl 0.173 0.345 0.642
9 Li 0.013 0.026 0.354
10 Tl 0.475 0.951 0.798
11 Ba 0.844 0.688 0.920
12 Li 0.587 0.174 0.630

## Properties
Space-group type ... C2/m (12)
Total DFT energy (no corrections) ... -27.5 eV per cell


18.
DFT (PBE) results for a relaxed structure of Ba2LiTl6.

a b c (Å): 6.615 7.050 7.050
angles (deg): 59.99 90.00 90.00
Fractional positions:
1 Tl 0.315 0.827 0.346
2 Li 0.000 0.000 0.000
3 Tl 0.685 0.654 0.173
4 Ba 0.166 0.333 0.333
5 Tl 0.315 0.346 0.827
6 Ba 0.834 0.667 0.667
7 Tl 0.685 0.173 0.654
8 Tl 0.315 0.827 0.827
9 Tl 0.685 0.173 0.173

## Properties
Space-group type ... P-3m1 (164)
Total DFT energy (no corrections) ... -22.6 eV per cell


19.
DFT (PBE) results for a relaxed structure of Ba6LiTl2.

a b c (Å): 4.460 8.639 12.546
angles (deg): 84.33 90.00 104.96
Fractional positions:
1 Li 0.000 0.000 0.500
2 Ba 0.914 0.828 0.254
3 Tl 0.747 0.494 0.793
4 Ba 0.663 0.325 0.404
5 Ba 0.086 0.172 0.746
6 Ba 0.634 0.268 0.057
7 Ba 0.337 0.675 0.596
8 Ba 0.366 0.732 0.943
9 Tl 0.253 0.506 0.207

## Properties
Space-group type ... C2/m (12)
Total DFT energy (no corrections) ... -19.4 eV per cell


20.
DFT (PBE) results for a relaxed structure of Ba2LiTl.

a b c (Å): 4.356 4.355 8.654
angles (deg): 89.98 90.00 90.00
Fractional positions:
1 Tl 0.500 0.500 0.000
2 Ba 0.000 0.000 0.766
3 Li 0.500 0.500 0.500
4 Ba 0.000 0.000 0.234

## Properties
Space-group type ... P4/mmm (123)
Total DFT energy (no corrections) ... -9.0 eV per cell